1.
Here is an optimized crystal structure of CsKNa2In from Alexandria. Energies are from PBE-GGA.

size of the total moment = 0.00 μB per atom
E_form = 9 kJ/mol of atoms
distance to the lowest polymorph of the same formula = 68 meV per atom

Geometry as CIF:
```
data_CsKNa2In
_cell_length_a 6.332
_cell_length_b 6.332
_cell_length_c 7.141
_cell_angle_alpha 90.00
_cell_angle_beta 90.00
_cell_angle_gamma 90.00
_space_group_name_H-M_alt 'P 4/m m m'
_space_group_IT_number 123
_space_group_name_Hall '-P 4 2'
loop_
_atom_site_label
_atom_site_type_symbol
_atom_site_fract_x
_atom_site_fract_y
_atom_site_fract_z
Cs1 Cs 0.000 0.000 0.000
K1 K 0.500 0.500 0.000
Na1 Na 0.000 0.500 0.500
In1 In 0.000 0.000 0.500
```


2.
Here is an optimized crystal structure of CsK2NaIn from Alexandria. Energies are from PBE-GGA.

size of the total moment = 0.00 μB per atom
E_form = 12 kJ/mol of atoms
distance to the lowest polymorph of the same formula = 86 meV per atom

Geometry as CIF:
```
data_CsK2NaIn
_cell_length_a 6.977
_cell_length_b 6.977
_cell_length_c 6.040
_cell_angle_alpha 90.00
_cell_angle_beta 90.00
_cell_angle_gamma 90.00
_space_group_name_H-M_alt 'P 4/m m m'
_space_group_IT_number 123
_space_group_name_Hall '-P 4 2'
loop_
_atom_site_label
_atom_site_type_symbol
_atom_site_fract_x
_atom_site_fract_y
_atom_site_fract_z
Cs1 Cs 0.000 0.000 0.000
K1 K 0.000 0.500 0.500
Na1 Na 0.500 0.500 0.500
In1 In 0.500 0.500 0.000
```